Entry 1:
A plane-wave DFT calculation with GGA-PBE was carried out for Er3AlPd after structural relaxation.

Cell lengths 5.7022, 5.7022, 9.1255 Å; angles 113.21, 113.21, 69.27 degrees
Fractional coordinates of all 10 atoms:
Er 0.0379 0.0379 0.2684
Er 0.2994 0.2994 0.6744
Er 0.3032 0.3032 0.1219
Er 0.6968 0.6968 0.8781
Er 0.7006 0.7006 0.3256
Er 0.9621 0.9621 0.7316
Al 0.3039 0.6961 0.5000
Al 0.6961 0.3039 0.5000
Pd 0.2746 0.7254 0.0000
Pd 0.7254 0.2746 0.0000

Properties
M_tot   0.00 μB per formula unit
E_form   -499 meV/atom


Entry 2:
A plane-wave DFT calculation with GGA-PBE was carried out for TmAlFe after structural relaxation.

Cell lengths 8.6167, 5.2834, 5.2834 Å; angles 60.75, 90.00, 90.00 degrees
Fractional coordinates of all 12 atoms:
Tm 0.1757 0.0000 0.0000
Tm 0.3033 0.6646 0.6646
Tm 0.6967 0.6646 0.6646
Tm 0.8243 0.0000 0.0000
Al 0.2331 0.3258 0.3258
Al 0.5000 0.1660 0.6715
Al 0.5000 0.6715 0.1660
Al 0.7669 0.3258 0.3258
Fe 0.0000 0.5047 0.5047
Fe 0.0000 0.5114 0.9728
Fe 0.0000 0.9728 0.5114
Fe 0.5000 0.1648 0.1648

Properties
M_tot   1.54 μB per formula unit
E_form   -336 meV/atom


Entry 3:
A plane-wave DFT calculation with GGA-PBE was carried out for NaAg5Br8 after structural relaxation.

Cell lengths 8.3364, 8.3364, 8.3364 Å; angles 60.00, 60.00, 60.00 degrees
Fractional coordinates of all 14 atoms:
Na 0.0000 0.0000 0.0000
Ag 0.3754 0.3754 0.3754
Ag 0.3754 0.3754 0.8739
Ag 0.3754 0.8739 0.3754
Ag 0.7500 0.7500 0.7500
Ag 0.8739 0.3754 0.3754
Br 0.1365 0.1365 0.1365
Br 0.1365 0.1365 0.5904
Br 0.1365 0.5904 0.1365
Br 0.1484 0.6172 0.6172
Br 0.5904 0.1365 0.1365
Br 0.6172 0.1484 0.6172
Br 0.6172 0.6172 0.1484
Br 0.6172 0.6172 0.6172

Properties
M_tot   0.00 μB per formula unit
Energy above the most stable polymorph in this dataset   0.0120 eV/atom


Entry 4:
A plane-wave DFT calculation with GGA-PBE was carried out for MgPaZnRu after structural relaxation.

Cell lengths 4.7481, 4.7481, 4.7481 Å; angles 60.00, 60.00, 60.00 degrees
Fractional coordinates of all 4 atoms:
Mg 0.0000 0.0000 0.0000
Pa 0.5000 0.5000 0.5000
Zn 0.7500 0.7500 0.7500
Ru 0.2500 0.2500 0.2500

Properties
M_tot   0.00 μB per formula unit
E_form   -109 meV/atom


Entry 5:
A plane-wave DFT calculation with GGA-PBE was carried out for DyMgSi2 after structural relaxation.

Cell lengths 5.4541, 5.4541, 5.4541 Å; angles 47.61, 47.61, 47.61 degrees
Fractional coordinates of all 4 atoms:
Dy 0.0000 0.0000 0.0000
Mg 0.5000 0.5000 0.5000
Si 0.2256 0.2256 0.2256
Si 0.7744 0.7744 0.7744

Properties
E   -17.9 eV per cell
M_tot   0.00 μB per formula unit


Entry 6:
A plane-wave DFT calculation with GGA-PBE was carried out for Cs4NaAu2 after structural relaxation.

Cell lengths 10.4720, 10.4720, 10.4720 Å; angles 139.05, 139.05, 59.30 degrees
Fractional coordinates of all 7 atoms:
Cs 0.0000 0.5000 0.5000
Cs 0.2335 0.2335 0.0000
Cs 0.5000 0.0000 0.5000
Cs 0.7665 0.7665 0.0000
Na 0.0000 0.0000 0.0000
Au 0.4224 0.4224 0.0000
Au 0.5776 0.5776 0.0000

Properties
M_tot   0.00 μB per formula unit
Energy above the most stable polymorph in this dataset   0.1576 eV/atom
E_form   -20 meV/atom


no.,volume (A^3/atom),density of states at the Fermi level (states/eV per cell)
1,24.36,7.2
2,17.49,8.0
3,29.26,22.3
4,18.92,3.2
5,20.25,2.2
6,69.79,5.4